# 1
The following is a PBE-GGA calculation of a geometry-optimized Mg2Ag3F7 structure, from Alexandria.

total energy = -4.305 eV per atom
E_form (uncorrected) = -2.235 eV/atom
total magnetization = 0.00 μB/f.u.

Cell and atoms, written as CIF:
```
data_Mg2Ag3F7
_cell_length_a 3.9709
_cell_length_b 3.9709
_cell_length_c 20.4242
_cell_angle_alpha 90.00
_cell_angle_beta 90.00
_cell_angle_gamma 90.00
_space_group_name_H-M_alt 'I 4/m m m'
_space_group_IT_number 139
_space_group_name_Hall '-I 4 2'
loop_
_atom_site_label
_atom_site_fract_x
_atom_site_fract_y
_atom_site_fract_z
Mg1 0.0000 0.0000 0.0983
Ag1 0.0000 0.0000 0.3101
Ag2 0.0000 0.0000 0.5000
F1 0.0000 0.0000 0.0000
F2 0.0000 0.0000 0.1965
F3 0.0000 0.5000 0.0971
```

***

# 2
The following is a PBE-GGA calculation of a geometry-optimized Mn2Fe2Ru structure, from Alexandria.

total energy = -8.709 eV per atom
ΔH_f (0 K) = 1.00 eV/f.u.
total magnetization = 0.00 μB/f.u.

Cell and atoms, written as CIF:
```
data_Mn2Fe2Ru
_cell_length_a 6.6988
_cell_length_b 6.6988
_cell_length_c 2.5364
_cell_angle_alpha 90.00
_cell_angle_beta 90.00
_cell_angle_gamma 90.00
_space_group_name_H-M_alt 'P 4/m b m'
_space_group_IT_number 127
_space_group_name_Hall '-P 4 2ab'
loop_
_atom_site_label
_atom_site_fract_x
_atom_site_fract_y
_atom_site_fract_z
Mn1 0.1207 0.3793 0.0000
Fe1 0.1741 0.6741 0.5000
Ru1 0.0000 0.0000 0.0000
```

***

# 3
The following is a PBE-GGA calculation of a geometry-optimized GaBi3W structure, from Alexandria.

total energy = -4.748 eV per atom
ΔH_f (0 K) = 3.88 eV/f.u.
total magnetization = 0.00 μB/f.u.

Cell and atoms, written as CIF:
```
data_GaBi3W
_cell_length_a 5.4492
_cell_length_b 5.4492
_cell_length_c 5.4492
_cell_angle_alpha 90.00
_cell_angle_beta 90.00
_cell_angle_gamma 90.00
_space_group_name_H-M_alt 'P m -3 m'
_space_group_IT_number 221
_space_group_name_Hall '-P 4 2 3'
loop_
_atom_site_label
_atom_site_fract_x
_atom_site_fract_y
_atom_site_fract_z
Ga1 0.0000 0.0000 0.0000
Bi1 0.0000 0.5000 0.5000
W1 0.5000 0.5000 0.5000
```

***

# 4
The following is a PBE-GGA calculation of a geometry-optimized NbGaI2 structure, from Alexandria.

total energy = -3.603 eV per atom
E_form (uncorrected) = 0.446 eV/atom
total magnetization = 0.00 μB/f.u.

Cell and atoms, written as CIF:
```
data_NbGaI2
_cell_length_a 7.2241
_cell_length_b 7.2241
_cell_length_c 7.2241
_cell_angle_alpha 90.00
_cell_angle_beta 90.00
_cell_angle_gamma 90.00
_space_group_name_H-M_alt 'F m -3 m'
_space_group_IT_number 225
_space_group_name_Hall '-F 4 2 3'
loop_
_atom_site_label
_atom_site_fract_x
_atom_site_fract_y
_atom_site_fract_z
Nb1 0.0000 0.0000 0.0000
Ga1 0.0000 0.0000 0.5000
I1 0.2500 0.2500 0.2500
```